Compound: MgTe2
Source: Alexandria via LeMat-Bulk
Functional: PBEsol
Structure: optimized geometry

Summary:
- V: 32.118 A^3/atom
- D(E_F): 3.7 states/eV/cell
- DFT total energy: -3.31 eV per atom
- Uncorrected formation energy: -0.39 eV/atom

Unit cell a=4.290 b=4.290 c=12.092 alpha=90.00 beta=90.00 gamma=120.00
Fractional coordinates of all 6 atoms:
Mg 0.333 0.667 0.250
Mg 0.667 0.333 0.750
Te 0.000 0.000 0.621
Te 0.000 0.000 0.121
Te 0.000 0.000 0.879
Te 0.000 0.000 0.379